{
  "formula": "Al4GePd7",
  "functional": "PBE",
  "state": "relaxed",
  "mass_density_g_cm3": 7.81,
  "delta_e_f_ev_per_atom": -0.56,
  "crystal_system": "monoclinic",
  "spacegroup": "C2/m",
  "energy_ev_per_atom": -5.219,
  "cell": [[-3.584, -2.795, -0.476], [2.452, -6.291, -3.451], [-0.419, -4.038, 4.930]],
  "species": ["Al", "Al", "Al", "Al", "Ge", "Pd", "Pd", "Pd", "Pd", "Pd", "Pd", "Pd"],
  "frac_coords": [[0.582, 0.213, 0.622], [0.418, 0.787, 0.378], [0.716, 0.652, 0.916], [0.284, 0.348, 0.084], [0.000, 0.000, 0.000], [0.784, 0.862, 0.569], [0.216, 0.138, 0.431], [0.072, 0.681, 0.174], [0.928, 0.319, 0.826], [0.356, 0.569, 0.720], [0.500, 0.000, 0.000], [0.644, 0.431, 0.280]]
}